Entry 1:
DFT (PBE) results for a relaxed YPaTlZn crystal.

```
data_YPaTlZn
_chemical_formula_sum 'Y4 Pa4 Tl4 Zn4'
_cell_length_a 7.3919
_cell_length_b 7.3919
_cell_length_c 7.3919
_cell_angle_alpha 90.00
_cell_angle_beta 90.00
_cell_angle_gamma 90.00
_space_group_name_H-M_alt 'F -4 3 m'
_space_group_IT_number 216
_space_group_name_Hall 'F -4 2 3'
loop_
_atom_site_label
_atom_site_fract_x
_atom_site_fract_y
_atom_site_fract_z
_atom_site_occupancy
Y1 0.0000 0.0000 0.0000 1
Pa1 0.0000 0.0000 0.5000 1
Tl1 0.2500 0.2500 0.7500 1
Zn1 0.2500 0.2500 0.2500 1
```

Results
calculated total energy	-4.86	eV per atom
magnetization	4.1	μB per cell

***

Entry 2:
DFT (PBE) results for a relaxed Ba2VSnPd crystal.

```
data_Ba2VSnPd
_chemical_formula_sum 'Ba2 V1 Sn1 Pd1'
_cell_length_a 6.1239
_cell_length_b 6.1239
_cell_length_c 5.1055
_cell_angle_alpha 90.00
_cell_angle_beta 90.00
_cell_angle_gamma 90.00
_space_group_name_H-M_alt 'P 4/m m m'
_space_group_IT_number 123
_space_group_name_Hall '-P 4 2'
loop_
_atom_site_label
_atom_site_fract_x
_atom_site_fract_y
_atom_site_fract_z
_atom_site_occupancy
Ba1 0.0000 0.5000 0.0000 1
V1 0.0000 0.0000 0.0000 1
Sn1 0.0000 0.0000 0.5000 1
Pd1 0.5000 0.5000 0.5000 1
```

Results
calculated total energy	-4.02	eV per atom
magnetization	3.7	μB per cell